--- A ---
{
  "formula": "LiPaIrRh",
  "functional": "PBE-GGA",
  "state": "relaxed",
  "lattice": [[-2.3949, 2.4929, 1.4767], [-3.2820, -2.3299, -1.3893], [-0.0059, -2.1362, 3.5966]],
  "species": ["Rh", "Li", "Pa", "Ir"],
  "frac_coords": [[0.0000, 0.5000, 0.5000], [0.5000, 0.5000, 0.0000], [0.5000, 0.0000, 0.5000], [0.0000, 0.0000, 0.0000]]
}

***

--- B ---
{
  "formula": "LiPaIrRh",
  "functional": "PBE-GGA",
  "state": "relaxed",
  "lattice": [[-0.8506, 3.2198, 3.2039], [-3.1557, -0.7847, 3.2834], [1.3343, -0.6812, 4.3716]],
  "species": ["Li", "Pa", "Rh", "Ir"],
  "frac_coords": [[0.2500, 0.2500, 0.2500], [0.7500, 0.7500, 0.7500], [0.5000, 0.5000, 0.5000], [0.0000, 0.0000, 0.0000]]
}

***

Which of them is the most stable, and which is the least stable? A and B, in that order.

***

--- A ---
{
  "formula": "LiIrPb2",
  "functional": "PBE-GGA",
  "state": "relaxed",
  "lattice": [[3.3327, 0.0000, 0.0000], [0.0000, 3.3327, 0.0000], [0.0000, 0.0000, 7.7102]],
  "species": ["Pb", "Pb", "Li", "Ir"],
  "frac_coords": [[0.5000, 0.5000, 0.3227], [0.0000, 0.0000, 0.9286], [0.5000, 0.5000, 0.6996], [0.0000, 0.0000, 0.5491]]
}

***

--- B ---
{
  "formula": "LiIrPb2",
  "functional": "PBE-GGA",
  "state": "relaxed",
  "lattice": [[-2.8755, 3.3732, 9.1575], [0.0758, 2.2698, 9.9171], [-0.2760, 5.2558, 8.7068]],
  "species": ["Pb", "Pb", "Li", "Ir"],
  "frac_coords": [[0.0118, 0.0118, 0.0118], [0.2306, 0.2306, 0.2306], [0.7646, 0.7646, 0.7646], [0.4930, 0.4930, 0.4930]]
}

***

Which of them is the most stable, and which is the least stable? A and B, in that order.

***

--- A ---
{
  "formula": "LiIrPb2",
  "functional": "PBE-GGA",
  "state": "relaxed",
  "lattice": [[4.9470, -0.0278, 0.0453], [3.8274, 3.1344, 0.0453], [0.8509, 0.3013, 5.6106]],
  "species": ["Li", "Ir", "Pb", "Pb"],
  "frac_coords": [[0.2357, 0.2357, 0.2822], [0.5042, 0.5042, 0.4682], [0.7660, 0.7660, 0.6808], [0.9941, 0.9941, 0.0688]]
}

***

--- B ---
{
  "formula": "LiIrPb2",
  "functional": "PBE-GGA",
  "state": "relaxed",
  "lattice": [[-2.2850, -2.2578, -1.2070], [2.2035, -2.5581, 0.6133], [-2.7815, -0.7826, 6.7296]],
  "species": ["Li", "Pb", "Pb", "Ir"],
  "frac_coords": [[0.5000, 0.5000, 0.7500], [0.0000, 0.0000, 0.4770], [0.0000, 0.0000, 0.0230], [0.5000, 0.5000, 0.2500]]
}

***

Which of them is the most stable, and which is the least stable? B and A, in that order.

***

--- A ---
{
  "formula": "LiIrPb2",
  "functional": "PBE-GGA",
  "state": "relaxed",
  "lattice": [[-4.8219, -2.7023, -1.1714], [-1.1637, -4.6538, 2.9856], [1.5926, 5.3102, 1.0913]],
  "species": ["Pb", "Pb", "Li", "Ir"],
  "frac_coords": [[0.2500, 0.7500, 0.5000], [0.0000, 0.0000, 0.0000], [0.7500, 0.2500, 0.5000], [0.5000, 0.5000, 0.0000]]
}

***

--- B ---
{
  "formula": "LiIrPb2",
  "functional": "PBE-GGA",
  "state": "relaxed",
  "lattice": [[-0.2971, 2.0323, -7.7189], [1.4820, -1.3049, -7.7396], [-2.2934, -1.1758, -7.5603]],
  "species": ["Li", "Ir", "Pb", "Pb"],
  "frac_coords": [[0.7500, 0.7500, 0.7500], [0.2500, 0.2500, 0.2500], [0.9907, 0.9907, 0.9907], [0.5093, 0.5093, 0.5093]]
}

***

Which of them is the most stable, and which is the least stable? B and A, in that order.